A PBEsol-optimized structure of LiNbTe3O12, computed with SCAN.

Relative energy among the computed polymorphs   0 meV per atom
Uncorrected formation energy   -1.47 eV per atom
N(E_F)   0.00 states/eV per cell
M_tot   0.00 Bohr magnetons per cell

abc: 5.073 5.326 7.367
angles: 86.48 90.00 89.85
Space group P1 (No. 1)
Asymmetric unit:
Li  0.000  0.000  0.000 (multiplicity 1)
Nb  0.994  0.580  0.782 (multiplicity 1)
Te  0.000  0.579  0.291 (multiplicity 1)
Te  0.493  0.085  0.787 (multiplicity 1)
Te  0.503  0.084  0.294 (multiplicity 1)
O  0.122  0.584  0.534 (multiplicity 1)
O  0.187  0.265  0.857 (multiplicity 1)
O  0.190  0.897  0.225 (multiplicity 1)
O  0.302  0.789  0.851 (multiplicity 1)
O  0.312  0.391  0.222 (multiplicity 1)
O  0.365  0.084  0.538 (multiplicity 1)
O  0.632  0.089  0.043 (multiplicity 1)
O  0.675  0.394  0.737 (multiplicity 1)
O  0.690  0.774  0.362 (multiplicity 1)
O  0.808  0.907  0.745 (multiplicity 1)
O  0.815  0.269  0.359 (multiplicity 1)
O  0.889  0.600  0.048 (multiplicity 1)

=====

A PBEsol-optimized structure of GdCo12B6, computed with SCAN.

Calculated formation energy   -0.252 eV/atom
N(E_F)   35.20 states/eV per cell
M_tot   47.27 Bohr magnetons per cell

abc: 9.2767 9.2767 7.3120
angles: 90.00 90.00 120.00
Space group R-3m (No. 166, hexagonal axes)
Asymmetric unit:
Gd  0.0000  0.0000  0.0000 (multiplicity 3)
Co  0.0000  0.3675  0.5000 (multiplicity 18)
Co  0.0899  0.1799  0.3661 (multiplicity 18)
B  0.0368  0.5184  0.2856 (multiplicity 18)

=====

A PBEsol-optimized structure of BaNa2SrO, computed with SCAN.

Uncorrected formation energy   -0.43 eV per atom
N(E_F)   3.59 states/eV per cell
M_tot   0.00 Bohr magnetons per cell

abc: 6.815 6.815 4.507
angles: 90.00 90.00 90.00
Space group P4/mmm (No. 123)
Asymmetric unit:
Ba  0.000  0.000  0.000 (multiplicity 1)
Na  0.000  0.500  0.500 (multiplicity 2)
Sr  0.500  0.500  0.500 (multiplicity 1)
O  0.500  0.500  0.000 (multiplicity 1)

=====

A PBEsol-optimized structure of FeCoAgI2, computed with SCAN.

Uncorrected formation energy   1.08 eV per atom
N(E_F)   3.79 states/eV per cell
M_tot   5.82 Bohr magnetons per cell

abc: 5.012 5.012 4.780
angles: 90.00 90.00 90.00
Space group P4/mmm (No. 123)
Asymmetric unit:
Fe  0.000  0.000  0.000 (multiplicity 1)
Co  0.500  0.500  0.500 (multiplicity 1)
Ag  0.000  0.000  0.500 (multiplicity 1)
I  0.000  0.500  0.000 (multiplicity 2)

=====

A PBEsol-optimized structure of MgH2Pt2, computed with SCAN.

Relative energy among the computed polymorphs   155 meV per atom
N(E_F)   2.33 states/eV per cell
M_tot   0.00 Bohr magnetons per cell

abc: 3.311 3.311 9.744
angles: 90.00 90.00 90.00
Space group I4/mmm (No. 139)
Asymmetric unit:
Mg  0.000  0.000  0.000 (multiplicity 2)
H  0.000  0.500  0.250 (multiplicity 4)
Pt  0.000  0.000  0.352 (multiplicity 4)

=====

A PBEsol-optimized structure of Zr4N2O5, computed with SCAN.

Relative energy among the computed polymorphs   0 meV per atom
Uncorrected formation energy   -3.18 eV per atom
N(E_F)   0.00 states/eV per cell
M_tot   0.00 Bohr magnetons per cell

abc: 10.161 10.161 10.038
angles: 90.00 90.00 90.00
Space group I4cm (No. 108)
Asymmetric unit:
Zr  0.000  0.000  0.000 (multiplicity 4)
Zr  0.000  0.500  0.036 (multiplicity 4)
Zr  0.030  0.244  0.252 (multiplicity 16)
Zr  0.229  0.271  0.524 (multiplicity 8)
N  0.110  0.390  0.392 (multiplicity 8)
N  0.136  0.364  0.113 (multiplicity 8)
O  0.104  0.137  0.627 (multiplicity 16)
O  0.117  0.150  0.882 (multiplicity 16)
O  0.122  0.378  0.681 (multiplicity 8)